1.
Compound: RbIr
Source: the Alexandria database
Functional: GGA-PBE
Structure: optimized geometry

Results
Total energy (eV/atom): -2.5845
Density of states at the Fermi level (states/eV/f.u.): 7.46

abc: 7.972 7.972 7.972
angles: 90.00 90.00 90.00
Space group F-43m (No. 216)
One atom of each set of equivalent atoms:
Rb (0.000, 0.000, 0.000) [4 per cell]
Ir (0.250, 0.250, 0.750) [4 per cell]

2.
Compound: SrLiEuIr
Source: the Alexandria database
Functional: GGA-PBE
Structure: optimized geometry

Results
Total energy (eV/atom): -5.8245
Density of states at the Fermi level (states/eV/f.u.): 13.06

abc: 7.336 7.336 7.336
angles: 90.00 90.00 90.00
Space group F-43m (No. 216)
One atom of each set of equivalent atoms:
Sr (0.000, 0.000, 0.000) [4 per cell]
Li (0.250, 0.250, 0.250) [4 per cell]
Eu (0.000, 0.000, 0.500) [4 per cell]
Ir (0.250, 0.250, 0.750) [4 per cell]

3.
Compound: Na2LiNbF
Source: the Alexandria database
Functional: GGA-PBE
Structure: optimized geometry

Results
Total energy (eV/atom): -3.5017
Uncorrected formation energy (meV per atom): -203
Density of states at the Fermi level (states/eV/f.u.): 0.95

abc: 4.702 4.702 4.697
angles: 90.00 90.00 90.00
Space group P4/mmm (No. 123)
One atom of each set of equivalent atoms:
Na (0.000, 0.500, 0.000) [2 per cell]
Li (0.000, 0.000, 0.500) [1 per cell]
Nb (0.500, 0.500, 0.500) [1 per cell]
F (0.500, 0.500, 0.000) [1 per cell]

- Among the records above, which one has the lowest total energy?
  SrLiEuIr